Cs2SbICl6 | GGA-PBE | relaxed

It has space group I4/mmm (No. 139), with a = 8.2026 Å, b = 8.2026 Å, c = 11.5813 Å, α = 90.00°, β = 90.00° and γ = 90.00°. Symmetry generates all atoms from Cs at (0.0000, 0.5000, 0.2500), Sb at (0.0000, 0.0000, 0.0000), I at (0.0000, 0.0000, 0.5000), Cl at (0.0000, 0.0000, 0.2161) and Cl at (0.2158, 0.2158, 0.0000).

The offset from the most stable computed form is 0.00 kJ/mol of atoms.

CsSb2ICl | GGA-PBE | relaxed

It has space group P4/mmm (No. 123), with a = 5.3296 Å, b = 5.3296 Å, c = 8.0328 Å, α = 90.00°, β = 90.00° and γ = 90.00°. Symmetry generates all atoms from Cs at (0.0000, 0.0000, 0.0000), Sb at (0.0000, 0.5000, 0.5000), I at (0.5000, 0.5000, 0.0000) and Cl at (0.5000, 0.5000, 0.5000).

The offset from the most stable computed form is 0.00 kJ/mol of atoms.

CsSbI2Cl | GGA-PBE | relaxed

It has space group P4/mmm (No. 123), with a = 6.2196 Å, b = 6.2196 Å, c = 5.5752 Å, α = 90.00°, β = 90.00° and γ = 90.00°. Symmetry generates all atoms from Cs at (0.0000, 0.0000, 0.0000), Sb at (0.5000, 0.5000, 0.5000), I at (0.0000, 0.5000, 0.5000) and Cl at (0.5000, 0.5000, 0.0000).

CsScI2Cl | GGA-PBE | relaxed

It has space group P4/mmm (No. 123), with a = 6.0410 Å, b = 6.0410 Å, c = 5.1326 Å, α = 90.00°, β = 90.00° and γ = 90.00°. Symmetry generates all atoms from Cs at (0.0000, 0.0000, 0.0000), Sc at (0.5000, 0.5000, 0.5000), I at (0.0000, 0.5000, 0.5000) and Cl at (0.5000, 0.5000, 0.0000).

Cs2ScICl6 | GGA-PBE | relaxed

It has space group I4/mmm (No. 139), with a = 8.5962 Å, b = 8.5962 Å, c = 10.3343 Å, α = 90.00°, β = 90.00° and γ = 90.00°. Symmetry generates all atoms from Cs at (0.0000, 0.5000, 0.2500), Sc at (0.0000, 0.0000, 0.0000), I at (0.0000, 0.0000, 0.5000), Cl at (0.0000, 0.0000, 0.2537) and Cl at (0.2018, 0.2018, 0.0000).

Cs5SeI2Cl | GGA-PBE | relaxed

It has space group Cmc2_1 (No. 36), with a = 5.4394 Å, b = 22.4502 Å, c = 16.9338 Å, α = 90.00°, β = 90.00° and γ = 90.00°. Symmetry generates all atoms from Cs at (0.0000, 0.0030, 0.0000), Cs at (0.0000, 0.1207, 0.2196), Cs at (0.0000, 0.1997, 0.6255), Cs at (0.0000, 0.2372, 0.8839), Cs at (0.0000, 0.4251, 0.2896), Se at (0.0000, 0.2734, 0.2501), I at (0.0000, 0.3708, 0.5234), I at (0.0000, 0.4118, 0.8930) and Cl at (0.0000, 0.0404, 0.6843).

For the records above, the corresponding energy values read -3.007 -2.533 -2.865 -3.865 -3.691 -2.853 eV per atom.